Material: ReSb2Pb
Method: DFT, PBE
State: optimized geometry

Unit cell a=5.124 b=5.124 c=3.506 alpha=90.00 beta=90.00 gamma=90.00
Space group P4/mmm (No. 123)
Unique sites:
Re 0.000 0.000 0.000 x1
Sb 0.000 0.500 0.500 x2
Pb 0.500 0.500 0.000 x1

Properties
The value obtained for the formation energy (no corrections) is 959 meV per atom.

=====

Material: Ce3GaPd
Method: DFT, PBE
State: optimized geometry

Unit cell a=3.843 b=8.496 c=7.692 alpha=90.00 beta=103.12 gamma=90.00
Space group P2_1/m (No. 11)
Unique sites:
Ce 0.128 0.250 0.445 x2
Ce 0.350 0.015 0.243 x4
Ga 0.224 0.750 0.938 x2
Pd 0.178 0.250 0.836 x2

Properties
The calculated formation energy is -1.94 eV per formula unit.

=====

Material: CaMn2Te
Method: DFT, PBE
State: optimized geometry

Unit cell a=3.904 b=4.818 c=5.305 alpha=90.00 beta=90.23 gamma=90.00
Space group P2/m (No. 10)
Unique sites:
Ca 0.000 0.000 0.000 x1
Mn 0.497 0.500 0.754 x2
Te 0.500 0.000 0.500 x1

Properties
The value obtained for the formation energy (no corrections) is 152 meV per atom.

=====

Material: Tb3Zn2Ir
Method: DFT, PBE
State: optimized geometry

Unit cell a=12.157 b=4.414 c=10.598 alpha=90.00 beta=90.00 gamma=90.00
Space group Pnma (No. 62)
Unique sites:
Tb 0.055 0.250 0.114 x4
Tb 0.110 0.750 0.558 x4
Tb 0.240 0.250 0.789 x4
Zn 0.004 0.750 0.293 x4
Zn 0.197 0.750 0.996 x4
Ir 0.119 0.250 0.369 x4

Properties
The calculated formation energy is -2.97 eV per formula unit.

=====

Material: LiNdTmCu
Method: DFT, PBE
State: optimized geometry

Unit cell a=7.183 b=7.183 c=7.183 alpha=90.00 beta=90.00 gamma=90.00
Space group F-43m (No. 216)
Unique sites:
Li 0.000 0.000 0.000 x4
Nd 0.250 0.250 0.250 x4
Tm 0.250 0.250 0.750 x4
Cu 0.000 0.000 0.500 x4

Properties
The calculated formation energy is -0.05 eV per formula unit.

=====

Material: Li3TlPd4
Method: DFT, PBE
State: optimized geometry

Unit cell a=5.385 b=9.131 c=5.078 alpha=90.00 beta=90.00 gamma=90.00
Space group Imm2 (No. 44)
Unique sites:
Li 0.000 0.000 0.000 x2
Li 0.000 0.239 0.251 x4
Tl 0.000 0.500 0.499 x2
Pd 0.000 0.239 0.753 x4
Pd 0.249 0.000 0.503 x4

Properties
The calculated formation energy is -2.29 eV per formula unit. The calculation puts the energy above the lowest structure with this stoichiometry at 124 meV per atom.

=====

Material: Na3TcPt
Method: DFT, PBE
State: optimized geometry

Unit cell a=5.504 b=5.504 c=5.504 alpha=90.00 beta=90.00 gamma=90.00
Space group Pm-3m (No. 221)
Unique sites:
Na 0.000 0.000 0.500 x3
Tc 0.000 0.000 0.000 x1
Pt 0.500 0.500 0.500 x1

Properties
The calculated formation energy is 7.82 eV per formula unit. The calculation puts the energy above the lowest structure with this stoichiometry at 473 meV per atom.

=====

Material: Ni3Br
Method: DFT, PBE
State: optimized geometry

Unit cell a=6.654 b=8.630 c=4.010 alpha=90.00 beta=90.00 gamma=90.00
Space group Cmcm (No. 63)
Unique sites:
Ni 0.000 0.188 0.250 x4
Ni 0.178 0.074 0.750 x8
Br 0.000 0.352 0.750 x4

Properties
The calculation puts the energy above the lowest structure with this stoichiometry at 221 meV per atom. The value obtained for the formation energy (no corrections) is 522 meV per atom.

=====

Material: ZrMnTl4
Method: DFT, PBE
State: optimized geometry

Unit cell a=8.595 b=8.595 c=8.595 alpha=90.00 beta=90.00 gamma=90.00
Space group F-43m (No. 216)
Unique sites:
Zr 0.000 0.000 0.000 x4
Mn 0.250 0.250 0.750 x4
Tl 0.125 0.125 0.375 x16

Properties
The calculated formation energy is 4.03 eV per formula unit.

=====

Material: TaCoP2
Method: DFT, PBE
State: optimized geometry

Unit cell a=3.708 b=4.778 c=6.091 alpha=90.00 beta=90.00 gamma=90.00
Space group Cmmm (No. 65)
Unique sites:
Ta 0.000 0.000 0.000 x2
Co 0.000 0.000 0.500 x2
P 0.000 0.500 0.284 x4

Properties
The calculated formation energy is -0.57 eV per formula unit. The calculation puts the energy above the lowest structure with this stoichiometry at 367 meV per atom.

=====

Material: Tb4Y3PuS8
Method: DFT, PBE
State: optimized geometry

Unit cell a=7.8528 b=7.8528 c=19.2374 alpha=90.00 beta=90.00 gamma=120.00
Space group R-3m (No. 166, hexagonal axes)
Unique sites:
Tb 0.0000 0.0000 0.0000 x3
Tb 0.0000 0.5000 0.0000 x9
Y 0.0000 0.5000 0.5000 x9
Pu 0.0000 0.0000 0.5000 x3
S 0.0000 0.0000 0.2497 x6
S 0.0011 0.5005 0.7500 x18

Properties
The value obtained for the formation energy (no corrections) is -1988 meV per atom.

=====

Material: Fe3RuW
Method: DFT, PBE
State: optimized geometry

Unit cell a=4.407 b=4.407 c=4.407 alpha=90.00 beta=90.00 gamma=90.00
Space group Pm-3m (No. 221)
Unique sites:
Fe 0.000 0.000 0.500 x3
Ru 0.500 0.500 0.500 x1
W 0.000 0.000 0.000 x1

Properties
The calculated formation energy is 8.94 eV per formula unit. The calculation puts the energy above the lowest structure with this stoichiometry at 0 meV per atom.